Density functional theory data (PBE) for a relaxed structure of ZrZn2Pb.

Calculated values
As for the formation energy: -0.02 eV/atom. The calculation puts the total magnetic moment at 0.0 μB per formula unit.

a b c (Å): 3.337 3.337 7.576
angles (deg): 90.00 90.00 90.00
Space group P4/mmm (No. 123)
Asymmetric unit:
Zr1 0.000 0.000 0.000 (multiplicity 1)
Zn1 0.500 0.500 0.227 (multiplicity 2)
Pb1 0.000 0.000 0.500 (multiplicity 1)